Record 1
The following is a PBE calculation of a relaxed structure of Ac2Tl2ReO6, from Alexandria.

* VASP energy: -6.901 eV per atom
* Fermi-level density of states: 6.5 states/eV per cell
* spin magnetization: 1.40 μB/f.u.
* ΔE_f (raw): -1.888 eV/atom
* V: 252.31 Å³ per cell

abc: 6.282 6.282 7.455
angles: 91.78 91.78 120.76
Fractional positions:
Ac  0.165  0.835  0.000
Ac  0.835  0.165  0.000
Tl  0.354  0.646  0.500
Tl  0.646  0.354  0.500
Re  0.500  0.500  0.000
O  0.214  0.214  0.864
O  0.237  0.514  0.140
O  0.486  0.763  0.860
O  0.514  0.237  0.140
O  0.763  0.486  0.860
O  0.786  0.786  0.136

Record 2
The following is a PBE calculation of a relaxed structure of ScSn3S, from Alexandria.

* VASP energy: -4.278 eV per atom
* Fermi-level density of states: 5.4 states/eV per cell
* spin magnetization: 0.00 μB/f.u.
* E above lowest polymorph: 0 meV per atom
* ΔE_f (raw): 0.215 eV/atom
* V: 142.08 Å³ per cell

abc: 5.218 5.218 5.218
angles: 90.00 90.00 90.00
Fractional positions:
Sc  0.000  0.000  0.000
Sn  0.000  0.500  0.500
Sn  0.500  0.000  0.500
Sn  0.500  0.500  0.000
S  0.500  0.500  0.500

Record 3
The following is a PBE calculation of a relaxed structure of NbAgAuBr2, from Alexandria.

* VASP energy: -3.028 eV per atom
* Fermi-level density of states: 5.6 states/eV per cell
* spin magnetization: 3.41 μB/f.u.
* ΔE_f (raw): 0.881 eV/atom
* V: 141.66 Å³ per cell

abc: 5.179 5.179 5.282
angles: 90.00 90.00 90.00
Fractional positions:
Nb  0.000  0.000  0.000
Ag  0.500  0.500  0.500
Au  0.500  0.500  0.000
Br  0.000  0.500  0.500
Br  0.500  0.000  0.500

Record 4
The following is a PBE calculation of a relaxed structure of La5In2H, from Alexandria.

* VASP energy: -4.488 eV per atom
* Fermi-level density of states: 6.3 states/eV per cell
* spin magnetization: 0.00 μB/f.u.
* V: 246.92 Å³ per cell

abc: 6.998 6.998 6.875
angles: 117.07 117.07 95.42
Fractional positions:
La  0.000  0.000  0.000
La  0.113  0.494  0.018
La  0.494  0.113  0.018
La  0.532  0.532  0.684
La  0.948  0.948  0.417
In  0.010  0.522  0.509
In  0.522  0.010  0.509
H  0.329  0.329  0.226

Record 5
The following is a PBE calculation of a relaxed structure of BeZnAsIr, from Alexandria.

* ΔH_f (0 K): -0.077 eV/atom
* VASP energy: -4.705 eV per atom
* Fermi-level density of states: 1.1 states/eV per cell
* spin magnetization: 0.00 μB/f.u.
* E above lowest polymorph: 104 meV per atom
* V: 60.85 Å³ per cell

abc: 4.284 4.284 5.364
angles: 125.27 125.27 54.35
Fractional positions:
Be  0.000  0.000  0.000
Zn  0.778  0.778  0.306
As  0.615  0.615  0.600
Ir  0.300  0.300  0.999

Record 6
The following is a PBE calculation of a relaxed structure of SrCoCl2, from Alexandria.

* VASP energy: -4.094 eV per atom
* Fermi-level density of states: 2.6 states/eV per cell
* spin magnetization: 1.00 μB/f.u.
* E above lowest polymorph: 0 meV per atom
* ΔE_f (raw): -0.974 eV/atom
* V: 93.65 Å³ per cell

abc: 4.120 5.847 5.847
angles: 41.68 90.00 90.00
Fractional positions:
Sr  0.000  0.000  0.000
Co  0.500  0.635  0.635
Cl  0.000  0.700  0.700
Cl  0.500  0.419  0.419

Record 7
The following is a PBE calculation of a relaxed structure of Rb3Er3GaS8, from Alexandria.

* VASP energy: -4.982 eV per atom
* Fermi-level density of states: 14.1 states/eV per cell
* spin magnetization: 0.00 μB/f.u.
* ΔE_f (raw): -1.473 eV/atom
* V: 419.81 Å³ per cell

abc: 7.850 7.850 9.084
angles: 115.64 115.64 59.97
Fractional positions:
Rb  0.000  0.000  0.000
Rb  0.000  0.500  0.000
Rb  0.500  0.000  0.000
Er  0.000  0.500  0.500
Er  0.500  0.000  0.500
Er  0.500  0.500  0.500
Ga  0.000  0.000  0.500
S  0.217  0.217  0.680
S  0.218  0.745  0.680
S  0.255  0.782  0.320
S  0.270  0.270  0.309
S  0.730  0.730  0.691
S  0.745  0.218  0.680
S  0.782  0.255  0.320
S  0.783  0.783  0.320

Record 8
The following is a PBE calculation of a relaxed structure of PaSn4Pd15, from Alexandria.

* ΔH_f (0 K): -0.577 eV/atom
* VASP energy: -5.747 eV per atom
* Fermi-level density of states: 3.7 states/eV per cell
* spin magnetization: 0.00 μB/f.u.
* V: 335.56 Å³ per cell

abc: 4.067 4.067 20.290
angles: 90.00 90.00 90.00
Fractional positions:
Pa  0.000  0.000  0.000
Sn  0.000  0.000  0.207
Sn  0.000  0.000  0.402
Sn  0.000  0.000  0.598
Sn  0.000  0.000  0.793
Pd  0.000  0.500  0.100
Pd  0.000  0.500  0.302
Pd  0.000  0.500  0.500
Pd  0.000  0.500  0.698
Pd  0.000  0.500  0.900
Pd  0.500  0.000  0.100
Pd  0.500  0.000  0.302
Pd  0.500  0.000  0.500
Pd  0.500  0.000  0.698
Pd  0.500  0.000  0.900
Pd  0.500  0.500  0.000
Pd  0.500  0.500  0.201
Pd  0.500  0.500  0.400
Pd  0.500  0.500  0.600
Pd  0.500  0.500  0.799

Record 9
The following is a PBE calculation of a relaxed structure of Zr2Tl2Pd, from Alexandria.

* ΔH_f (0 K): -0.054 eV/atom
* VASP energy: -5.458 eV per atom
* Fermi-level density of states: 4.9 states/eV per cell
* spin magnetization: 0.00 μB/f.u.
* E above lowest polymorph: 0 meV per atom
* V: 223.03 Å³ per cell

abc: 7.146 7.146 4.368
angles: 90.00 90.00 90.00
Fractional positions:
Zr  0.164  0.336  0.000
Zr  0.336  0.836  0.000
Zr  0.664  0.164  0.000
Zr  0.836  0.664  0.000
Tl  0.145  0.645  0.500
Tl  0.355  0.145  0.500
Tl  0.645  0.855  0.500
Tl  0.855  0.355  0.500
Pd  0.000  0.000  0.500
Pd  0.500  0.500  0.500

Record 10
The following is a PBE calculation of a relaxed structure of Ho3Er6Pb, from Alexandria.

* ΔH_f (0 K): -0.004 eV/atom
* VASP energy: -4.485 eV per atom
* Fermi-level density of states: 33.0 states/eV per cell
* spin magnetization: 0.01 μB/f.u.
* V: 615.58 Å³ per cell

abc: 10.780 10.780 6.113
angles: 90.00 90.00 119.93
Fractional positions:
Ho  0.109  0.891  0.500
Ho  0.228  0.448  0.132
Ho  0.448  0.228  0.632
Ho  0.552  0.772  0.132
Ho  0.772  0.552  0.632
Ho  0.891  0.109  0.000
Er  0.042  0.455  0.708
Er  0.115  0.207  0.531
Er  0.207  0.115  0.031
Er  0.222  0.778  0.922
Er  0.439  0.561  0.646
Er  0.455  0.042  0.208
Er  0.545  0.958  0.708
Er  0.561  0.439  0.146
Er  0.778  0.222  0.422
Er  0.793  0.885  0.531
Er  0.885  0.793  0.031
Er  0.958  0.545  0.208
Pb  0.280  0.720  0.422
Pb  0.720  0.280  0.922

Record 11
The following is a PBE calculation of a relaxed structure of NiIr2Os, from Alexandria.

* ΔH_f (0 K): 0.005 eV/atom
* VASP energy: -8.678 eV per atom
* Fermi-level density of states: 4.3 states/eV per cell
* spin magnetization: 0.00 μB/f.u.
* E above lowest polymorph: 0 meV per atom
* V: 54.70 Å³ per cell

abc: 2.721 3.759 5.347
angles: 90.00 90.00 90.00
Fractional positions:
Ni  0.000  0.000  0.000
Ir  0.500  0.500  0.245
Ir  0.500  0.500  0.755
Os  0.000  0.000  0.500

Record 12
The following is a PBE calculation of a relaxed structure of Ce2TeI, from Alexandria.

* VASP energy: -5.194 eV per atom
* Fermi-level density of states: 14.4 states/eV per cell
* spin magnetization: 2.32 μB/f.u.
* E above lowest polymorph: 0 meV per atom
* ΔE_f (raw): -1.054 eV/atom
* V: 127.36 Å³ per cell

abc: 7.495 7.495 7.495
angles: 35.57 35.57 35.57
Fractional positions:
Ce  0.247  0.247  0.247
Ce  0.753  0.753  0.753
Te  0.500  0.500  0.500
I  0.000  0.000  0.000